1.
The following is a GGA-PBE calculation of an optimized crystal structure of CaSc2In, from the Alexandria database.

POSCAR file:
```
CaSc2In
1.0
-2.189 -2.284 1.216
2.813 -0.843 3.482
-3.076 4.904 3.672
Sc Ca In
2 1 1
direct
0.000 0.000 0.971
0.000 0.000 0.529
0.500 0.500 0.250
0.500 0.500 0.750
```

Computed properties:
Space-group type = Pmmm
Energy relative to the elements = -0.25 eV per formula unit
E_tot = -17.651 eV/cell

=====

2.
The following is a GGA-PBE calculation of an optimized crystal structure of CaSc2In2, from the Alexandria database.

POSCAR file:
```
CaSc2In2
1.0
-5.697 2.282 -5.784
-5.856 0.668 6.031
0.903 3.495 0.490
Sc Ca In
4 2 4
direct
0.171 0.671 0.500
0.671 0.829 0.500
0.829 0.329 0.500
0.329 0.171 0.500
0.000 0.000 0.000
0.500 0.500 0.000
0.371 0.871 0.000
0.871 0.629 0.000
0.629 0.129 0.000
0.129 0.371 0.000
```

Computed properties:
Space-group type = P4/mbm
Energy relative to the elements = -1.51 eV per formula unit
Energy relative to the lowest polymorph listed for this composition = 19 meV per atom
E_tot = -43.305 eV/cell

=====

3.
The following is a GGA-PBE calculation of an optimized crystal structure of CaScIn2, from the Alexandria database.

POSCAR file:
```
CaScIn2
1.0
5.552 0.025 0.000
-1.405 5.371 0.000
0.000 0.000 3.346
Sc Ca In
1 1 2
direct
0.500 0.000 0.500
0.000 0.500 0.500
0.000 0.000 0.000
0.500 0.500 0.000
```

Computed properties:
Space-group type = Cmmm
Energy relative to the elements = -1.55 eV per formula unit
E_tot = -15.357 eV/cell

=====

4.
The following is a GGA-PBE calculation of an optimized crystal structure of CaSc2In2, from the Alexandria database.

POSCAR file:
```
CaSc2In2
1.0
8.822 0.000 0.000
0.000 8.822 0.000
0.000 0.000 3.268
Sc Ca In
4 2 4
direct
0.379 0.879 0.000
0.879 0.621 0.000
0.621 0.121 0.000
0.121 0.379 0.000
0.000 0.000 0.000
0.500 0.500 0.000
0.177 0.677 0.500
0.677 0.823 0.500
0.823 0.323 0.500
0.323 0.177 0.500
```

Computed properties:
Space-group type = P4/mbm
Energy relative to the elements = -1.61 eV per formula unit
Energy relative to the lowest polymorph listed for this composition = 0 meV per atom
E_tot = -43.497 eV/cell

=====

5.
The following is a GGA-PBE calculation of an optimized crystal structure of CaScIn2, from the Alexandria database.

POSCAR file:
```
CaScIn2
1.0
3.659 0.000 0.000
0.000 3.659 0.000
0.000 0.000 7.560
Sc Ca In
1 1 2
direct
0.500 0.500 0.250
0.500 0.500 0.750
0.000 0.000 0.023
0.000 0.000 0.477
```

Computed properties:
Space-group type = P4/mmm
Energy relative to the elements = -1.74 eV per formula unit
E_tot = -15.552 eV/cell

=====

6.
The following is a GGA-PBE calculation of an optimized crystal structure of CaSc2In, from the Alexandria database.

POSCAR file:
```
CaSc2In
1.0
3.387 0.000 0.000
0.000 3.387 0.000
0.000 0.000 9.471
Sc Ca In
2 1 1
direct
0.000 0.000 0.958
0.000 0.000 0.542
0.500 0.500 0.250
0.500 0.500 0.750
```

Computed properties:
Space-group type = P4/mmm
Energy relative to the elements = -0.38 eV per formula unit
E_tot = -17.787 eV/cell

=====

7.
The following is a GGA-PBE calculation of an optimized crystal structure of CaScIn, from the Alexandria database.

POSCAR file:
```
CaScIn
1.0
7.333 -0.022 0.023
6.525 3.345 0.017
0.807 0.200 3.361
Sc Ca In
1 1 1
direct
0.687 0.687 0.313
0.989 0.989 0.011
0.323 0.323 0.677
```

Computed properties:
Space-group type = I4mm
Energy relative to the elements = -0.65 eV per formula unit
Energy relative to the lowest polymorph listed for this composition = 107 meV per atom
E_tot = -11.725 eV/cell

=====

8.
The following is a GGA-PBE calculation of an optimized crystal structure of Ca3ScIn, from the Alexandria database.

POSCAR file:
```
Ca3ScIn
1.0
-3.643 0.294 -4.660
-4.141 -2.935 3.052
-2.158 5.136 2.011
Sc Ca In
1 3 1
direct
0.500 0.500 0.500
0.000 0.500 0.000
0.000 0.000 0.500
0.500 0.000 0.000
0.000 0.000 0.000
```

Computed properties:
Space-group type = Pm-3m
Energy relative to the elements = 1.68 eV per formula unit
Energy relative to the lowest polymorph listed for this composition = 0 meV per atom
E_tot = -13.391 eV/cell

=====

9.
The following is a GGA-PBE calculation of an optimized crystal structure of CaScIn, from the Alexandria database.

POSCAR file:
```
CaScIn
1.0
-0.424 -3.437 6.058
0.794 -4.067 -2.252
9.567 1.139 1.316
Sc Ca In
4 4 4
direct
0.392 0.250 0.399
0.108 0.750 0.899
0.608 0.750 0.601
0.892 0.250 0.101
0.867 0.250 0.426
0.633 0.750 0.926
0.133 0.750 0.574
0.367 0.250 0.074
0.873 0.250 0.769
0.627 0.750 0.269
0.127 0.750 0.231
0.373 0.250 0.731
```

Computed properties:
Space-group type = Pnma
Energy relative to the elements = -0.48 eV per formula unit
Energy relative to the lowest polymorph listed for this composition = 166 meV per atom
E_tot = -46.188 eV/cell

=====

10.
The following is a GGA-PBE calculation of an optimized crystal structure of CaSc2In, from the Alexandria database.

POSCAR file:
```
CaSc2In
1.0
4.657 0.000 0.000
0.000 3.377 0.070
0.000 3.212 6.772
Sc Ca In
2 1 1
direct
0.000 0.997 0.001
0.500 0.279 0.221
0.000 0.492 0.509
0.500 0.732 0.769
```

Computed properties:
Space-group type = Pm
Energy relative to the elements = -0.55 eV per formula unit
E_tot = -17.956 eV/cell

=====

11.
The following is a GGA-PBE calculation of an optimized crystal structure of CaScIn4, from the Alexandria database.

POSCAR file:
```
CaScIn4
1.0
-1.858 -1.492 5.508
-3.232 3.889 3.233
-5.819 -1.054 1.021
Ca Sc In
1 1 4
direct
0.000 0.000 0.000
0.750 0.750 0.750
0.375 0.874 0.375
0.874 0.375 0.375
0.375 0.375 0.874
0.375 0.375 0.375
```

Computed properties:
Space-group type = F-43m
Energy relative to the elements = -1.26 eV per formula unit
Energy relative to the lowest polymorph listed for this composition = 14 meV per atom
E_tot = -20.546 eV/cell

=====

12.
The following is a GGA-PBE calculation of an optimized crystal structure of CaSc4In5, from the Alexandria database.

POSCAR file:
```
CaSc4In5
1.0
-2.753 -1.979 -1.142
1.817 -2.981 0.784
-7.147 0.121 17.019
Ca Sc In
1 4 5
direct
0.000 0.000 0.000
0.000 0.000 0.212
0.000 0.000 0.404
0.000 0.000 0.596
0.000 0.000 0.788
0.500 0.500 0.116
0.500 0.500 0.308
0.500 0.500 0.500
0.500 0.500 0.692
0.500 0.500 0.884
```

Computed properties:
Space-group type = P4/mmm
Energy relative to the elements = -4.18 eV per formula unit
E_tot = -45.200 eV/cell